# BaHgSeBr2

BaHgSeBr2 after structural relaxation (GGA-PBE, Alexandria).

## Properties
* uncorrected energy: -2.40 eV/atom
* E_form (uncorrected): -57 kJ per mole of atoms
* energy above the lowest structure with this stoichiometry: 400.7 meV/atom
* total magnetization: 0.4000 μB per atom

Unit cell a=6.221 b=6.221 c=7.580 alpha=90.00 beta=90.00 gamma=90.00
Positions (direct):
Ba 0.000 0.000 0.000
Hg 0.000 0.000 0.500
Se 0.500 0.500 0.500
Br 0.000 0.500 0.000
Br 0.500 0.000 0.000